! KAg5S3, optimized geometry, DFT PBE; values from VASP
&SYSTEM
  ibrav = 0, nat = 54, ntyp = 3
/
ATOMIC_SPECIES
Ag 107.87 Ag.upf
K 39.10 K.upf
S 32.06 S.upf
ATOMIC_POSITIONS crystal
Ag 0.298 0.293 0.750
Ag 0.667 0.816 0.501
Ag 0.368 0.002 0.750
Ag 0.366 0.998 0.250
Ag 0.634 0.632 0.750
Ag 0.667 0.816 0.999
Ag 0.465 0.465 0.000
Ag 0.293 0.298 0.250
Ag 0.000 0.535 0.500
Ag 0.632 0.634 0.250
Ag 0.005 0.707 0.250
Ag 0.333 0.149 0.001
Ag 0.149 0.333 0.501
Ag 0.184 0.851 0.501
Ag 0.184 0.851 0.999
Ag 0.995 0.702 0.750
Ag 0.707 0.005 0.750
Ag 0.816 0.667 0.499
Ag 0.002 0.368 0.250
Ag 0.851 0.184 0.001
Ag 0.000 0.535 0.000
Ag 0.998 0.366 0.750
Ag 0.535 0.000 0.000
Ag 0.851 0.184 0.499
Ag 0.535 0.000 0.500
Ag 0.465 0.465 0.500
Ag 0.149 0.333 0.999
Ag 0.333 0.149 0.499
Ag 0.816 0.667 0.001
Ag 0.702 0.995 0.250
K 0.667 0.333 0.001
K 0.000 0.000 0.000
K 0.000 0.000 0.500
K 0.333 0.667 0.501
K 0.333 0.667 0.999
K 0.667 0.333 0.499
S 0.782 0.866 0.750
S 0.224 0.446 0.250
S 0.582 0.115 0.250
S 0.554 0.778 0.250
S 0.115 0.582 0.750
S 0.218 0.084 0.250
S 0.533 0.418 0.250
S 0.776 0.222 0.750
S 0.916 0.134 0.250
S 0.084 0.218 0.750
S 0.418 0.533 0.750
S 0.222 0.776 0.250
S 0.778 0.554 0.750
S 0.885 0.467 0.250
S 0.134 0.916 0.750
S 0.866 0.782 0.250
S 0.467 0.885 0.750
S 0.446 0.224 0.750
CELL_PARAMETERS angstrom
-0.263 -12.949 3.705
8.860 8.440 5.635
-5.336 1.756 5.760
! * SG: P-62c (190)
! * total energy: -182.84 eV per cell